1.
DFT (PBE) results for a relaxed structure of Si2MoRh.

Cell lengths 2.8170, 4.5621, 4.3492 Å; angles 90.00, 90.00, 90.00 degrees
Fractional positions:
Si: 0.0000 0.0000 0.0000
Si: 0.5000 0.5000 0.2033
Mo: 0.0000 0.5000 0.7065
Rh: 0.5000 0.0000 0.4789

Output
- raw formation energy (eV per formula unit) = -1.44

2.
DFT (PBE) results for a relaxed structure of Si4MoRh.

Cell lengths 4.8476, 4.8476, 4.8476 Å; angles 60.00, 60.00, 60.00 degrees
Fractional positions:
Si: 0.1252 0.1252 0.1252
Si: 0.1252 0.1252 0.6245
Si: 0.1252 0.6245 0.1252
Si: 0.6245 0.1252 0.1252
Mo: 0.7500 0.7500 0.7500
Rh: 0.5000 0.5000 0.5000

Output
- raw formation energy (eV per formula unit) = 1.68

3.
DFT (PBE) results for a relaxed structure of SiMoRh2.

Cell lengths 2.7971, 3.9557, 5.3590 Å; angles 90.00, 105.03, 90.00 degrees
Fractional positions:
Si: 0.0000 0.0000 0.0000
Mo: 0.6144 0.5000 0.2335
Rh: 0.2364 0.0000 0.4784
Rh: 0.8758 0.5000 0.7563

Output
- raw formation energy (eV per formula unit) = -1.34

4.
DFT (PBE) results for a relaxed structure of SiMoRh2.

Cell lengths 4.5671, 4.5671, 2.7581 Å; angles 90.00, 90.00, 90.00 degrees
Fractional positions:
Si: 0.0000 0.0000 0.0000
Mo: 0.5000 0.5000 0.0000
Rh: 0.0000 0.5000 0.5000
Rh: 0.5000 0.0000 0.5000

Output
- raw formation energy (eV per formula unit) = -0.51